Entry from OQMD: a relaxed structure of NbFePbAu (PBE).

Calculated values
spin magnetization: 1.6 μB/cell
space group: F-43m (216)
distance to the lowest polymorph of the same formula: 0.0 kJ/mol of atoms
calculated volume: 17.53 A^3/atom

Unit cell a=4.629 b=4.629 c=4.629 alpha=60.00 beta=60.00 gamma=60.00
Element x y z (fractional)
Au1 0.500 0.500 0.500
Fe1 0.750 0.750 0.750
Nb1 0.250 0.250 0.250
Pb1 0.000 0.000 0.000